(1)
The following is a GGA-PBE calculation of LiAs2 after structural relaxation, from Alexandria via LeMat-Bulk.

The calculation puts the density at 4.9 g cm⁻³. The calculated total energy is -3.784 eV per atom. For the formation energy from the elements, the calculation gives -0.05 eV/atom.

The structure belongs to space group P6_3/mmc (No. 194); the cell edges are 4.6025, 4.6025 and 5.8013 Å and the angles 90.00°, 90.00° and 120.00°. The inequivalent atoms are Li at (0.3333, 0.6667, 0.2500), As at (0.0000, 0.0000, 0.0000) and As at (0.3333, 0.6667, 0.7500).



(2)
The following is a GGA-PBE calculation of LiAs3 after structural relaxation, from Alexandria via LeMat-Bulk.

The calculation puts the density at 4.8 g cm⁻³. The calculated total energy is -4.013 eV per atom. For the polymorph energy (0 for the lowest one), the calculation gives 0.0540 eV per atom. For the formation energy from the elements, the calculation gives -0.05 eV/atom.

The structure belongs to space group Pmmn (No. 59, origin choice 2); the cell edges are 4.9627, 5.8867 and 5.5286 Å and the angles 90.00°, 90.00° and 90.00°. The inequivalent atoms are Li at (0.2500, 0.2500, 0.1682), As at (0.2500, 0.5375, 0.7075) and As at (0.2500, 0.7500, 0.1100).



(3)
The following is a GGA-PBE calculation of LiAs after structural relaxation, from Alexandria via LeMat-Bulk.

The calculation puts the density at 2.6 g cm⁻³. The calculated total energy is -3.615 eV per atom. For the formation energy from the elements, the calculation gives -0.33 eV/atom.

The structure belongs to space group I4/m (No. 87); the cell edges are 10.7365, 10.7365 and 3.5882 Å and the angles 90.00°, 90.00° and 90.00°. The inequivalent atoms are Li at (0.0529, 0.7754, 0.0000) and As at (0.1783, 0.2887, 0.0000).



(4)
The following is a GGA-PBE calculation of LiAs after structural relaxation, from Alexandria via LeMat-Bulk.

The calculation puts the density at 3.3 g cm⁻³. The calculated total energy is -3.225 eV per atom. For the formation energy from the elements, the calculation gives 0.06 eV/atom.

The structure belongs to space group P6_3/mmc (No. 194); the cell edges are 4.4330, 4.4330 and 4.9034 Å and the angles 90.00°, 90.00° and 120.00°. The inequivalent atoms are Li at (0.3333, 0.6667, 0.2500) and As at (0.3333, 0.6667, 0.7500).



(5)
The following is a GGA-PBE calculation of Li7As3 after structural relaxation, from Alexandria via LeMat-Bulk.

The calculation puts the density at 2.7 g cm⁻³. The calculated total energy is -3.322 eV per atom. For the formation energy from the elements, the calculation gives -0.59 eV/atom.

The structure belongs to space group C2/m (No. 12); the cell edges are 13.0100, 4.3608 and 5.9671 Å and the angles 90.00°, 98.61° and 90.00°. The inequivalent atoms are Li at (0.0000, 0.0000, 0.0000), Li at (0.0981, 0.5000, 0.4147), Li at (0.1561, 0.5000, 0.9612), Li at (0.2003, 0.0000, 0.6682), As at (0.0000, 0.0000, 0.5000) and As at (0.1768, 0.0000, 0.2210).



(6)
The following is a GGA-PBE calculation of Li7As6 after structural relaxation, from Alexandria via LeMat-Bulk.

The calculation puts the density at 3.4 g cm⁻³. The calculated total energy is -3.500 eV per atom. For the formation energy from the elements, the calculation gives -0.32 eV/atom.

The structure belongs to space group R-3m (No. 166, hexagonal axes); the cell edges are 5.0488, 5.0488 and 33.4931 Å and the angles 90.00°, 90.00° and 120.00°. The inequivalent atoms are Li at (0.0000, 0.0000, 0.0000), Li at (0.0004, 0.5002, 0.4357), As at (0.0000, 0.0000, 0.1667), As at (0.0000, 0.0000, 0.3388) and As at (0.0000, 0.0000, 0.4121).



(7)
The following is a GGA-PBE calculation of Li5As6 after structural relaxation, from Alexandria via LeMat-Bulk.

The calculation puts the density at 3.7 g cm⁻³. The calculated total energy is -3.756 eV per atom. For the formation energy from the elements, the calculation gives -0.35 eV/atom.

The structure belongs to space group C2/m (No. 12); the cell edges are 5.2271, 14.3599 and 6.3287 Å and the angles 90.00°, 113.68° and 90.00°. The inequivalent atoms are Li at (0.0000, 0.0000, 0.0000), Li at (0.0000, 0.1128, 0.5000), Li at (0.0000, 0.2731, 0.0000), As at (0.0640, 0.5000, 0.2139) and As at (0.1842, 0.3588, 0.7263).



(8)
The following is a GGA-PBE calculation of LiAs4 after structural relaxation, from Alexandria via LeMat-Bulk.

The calculation puts the density at 5.3 g cm⁻³. The calculated total energy is -4.044 eV per atom. For the polymorph energy (0 for the lowest one), the calculation gives 0.1661 eV per atom. For the formation energy from the elements, the calculation gives 0.06 eV/atom.

The structure belongs to space group Im-3m (No. 229); the cell edges are 5.7757, 5.7757 and 5.7757 Å and the angles 90.00°, 90.00° and 90.00°. The inequivalent atoms are Li at (0.0000, 0.0000, 0.0000) and As at (0.2500, 0.2500, 0.2500).



(9)
The following is a GGA-PBE calculation of LiAs after structural relaxation, from Alexandria via LeMat-Bulk.

The calculation puts the density at 3.7 g cm⁻³. The calculated total energy is -3.247 eV per atom. For the formation energy from the elements, the calculation gives 0.04 eV/atom.

The structure belongs to space group R-3m (No. 166, hexagonal axes); the cell edges are 3.0303, 3.0303 and 27.6518 Å and the angles 90.00°, 90.00° and 120.00°. The inequivalent atoms are Li at (0.0000, 0.0000, 0.1200) and As at (0.0000, 0.0000, 0.3793).



(10)
The following is a GGA-PBE calculation of LiAs after structural relaxation, from Alexandria via LeMat-Bulk.

The calculation puts the density at 4.1 g cm⁻³. The calculated total energy is -3.669 eV per atom. For the formation energy from the elements, the calculation gives -0.39 eV/atom.

The structure belongs to space group R-3m (No. 166, hexagonal axes); the cell edges are 3.0067, 3.0067 and 12.6708 Å and the angles 90.00°, 90.00° and 120.00°. The inequivalent atoms are Li at (0.0000, 0.0000, 0.0000) and As at (0.0000, 0.0000, 0.5000).



(11)
The following is a GGA-PBE calculation of LiAs2 after structural relaxation, from Alexandria via LeMat-Bulk.

The calculation puts the density at 4.2 g cm⁻³. The calculated total energy is -3.929 eV per atom. For the formation energy from the elements, the calculation gives -0.19 eV/atom.

The structure belongs to space group Immm (No. 71); the cell edges are 2.7766, 4.2142 and 10.6407 Å and the angles 90.00°, 90.00° and 90.00°. The inequivalent atoms are Li at (0.0000, 0.0000, 0.0000) and As at (0.0000, 0.0000, 0.3852).



(12)
The following is a GGA-PBE calculation of LiAs2 after structural relaxation, from Alexandria via LeMat-Bulk.

The calculation puts the density at 4.3 g cm⁻³. The calculated total energy is -3.918 eV per atom. For the formation energy from the elements, the calculation gives -0.18 eV/atom.

The structure belongs to space group I4_1/amd (No. 141, origin choice 2); the cell edges are 3.5253, 3.5253 and 19.6969 Å and the angles 90.00°, 90.00° and 90.00°. The inequivalent atoms are Li at (0.0000, 0.2500, 0.3750) and As at (0.0000, 0.2500, 0.7932).